# NdDyTm2 | Alexandria | PBE | relaxed
# - E above lowest polymorph: 102 meV/atom
# - Crystal system: cubic
data_NdDyTm2
_cell_length_a 8.0024
_cell_length_b 8.0024
_cell_length_c 8.0024
_cell_angle_alpha 90.00
_cell_angle_beta 90.00
_cell_angle_gamma 90.00
_space_group_name_H-M_alt 'F m -3 m'
_space_group_IT_number 225
_space_group_name_Hall '-F 4 2 3'
loop_
_atom_site_label
_atom_site_fract_x
_atom_site_fract_y
_atom_site_fract_z
_atom_site_occupancy
Nd1 0.0000 0.0000 0.0000 1
Dy1 0.0000 0.0000 0.5000 1
Tm1 0.2500 0.2500 0.2500 1

# Pm7AlGe2 | Alexandria | PBE | relaxed
# - E_tot: -49.2 eV per formula unit
# - Crystal system: trigonal
data_Pm7AlGe2
_cell_length_a 5.1913
_cell_length_b 5.1913
_cell_length_c 12.6239
_cell_angle_alpha 90.00
_cell_angle_beta 90.00
_cell_angle_gamma 120.00
_space_group_name_H-M_alt 'P 3 m 1'
_space_group_IT_number 156
loop_
_space_group_symop_operation_xyz
'x,y,z'
'-y,x-y,z'
'-x+y,-x,z'
'-y,-x,z'
'-x+y,y,z'
'x,x-y,z'
loop_
_atom_site_label
_atom_site_fract_x
_atom_site_fract_y
_atom_site_fract_z
_atom_site_occupancy
Pm1 0.0000 0.0000 0.0000 1
Pm2 0.0000 0.0000 0.2657 1
Pm3 0.0000 0.0000 0.5359 1
Pm4 0.3333 0.6667 0.1447 1
Pm5 0.3333 0.6667 0.6849 1
Pm6 0.6667 0.3333 0.3886 1
Pm7 0.6667 0.3333 0.8474 1
Al1 0.3333 0.6667 0.4151 1
Ge1 0.0000 0.0000 0.7687 1
Ge2 0.6667 0.3333 0.1082 1

# TbCeCSe | Alexandria | PBE | relaxed
# - Formation energy (no corrections): -1.080 eV per atom
# - Crystal system: trigonal
data_TbCeCSe
_cell_length_a 3.8192
_cell_length_b 3.8192
_cell_length_c 19.9850
_cell_angle_alpha 90.00
_cell_angle_beta 90.00
_cell_angle_gamma 120.00
_space_group_name_H-M_alt 'R 3 m'
_space_group_IT_number 160
_space_group_name_Hall 'R 3 -2"'
loop_
_atom_site_label
_atom_site_fract_x
_atom_site_fract_y
_atom_site_fract_z
_atom_site_occupancy
Tb1 0.0000 0.0000 0.0000 1
Ce1 0.0000 0.0000 0.5299 1
C1 0.0000 0.0000 0.2618 1
Se1 0.0000 0.0000 0.7621 1